This record from Alexandria describes PmAg2Hg after structural relaxation. The functional is PBE.

As for the density of states at the Fermi level: 1.1144 states/eV/atom. The total energy is -2.933 eV/atom. As for the formation energy: -0.244 eV/atom. The energy above the most stable polymorph in this dataset is 0 meV/atom.

POSCAR file:
```
PmAg2Hg
1.0
-0.2750 0.8438 -4.9472
3.1156 -2.3936 -3.1347
-1.7705 -3.5696 -3.0636
Hg Ag Pm
1 2 1
direct
0.5000 0.5000 0.5000 Hg
0.2500 0.2500 0.2500 Ag
0.7500 0.7500 0.7500 Ag
0.0000 0.0000 0.0000 Pm
```